Record 1
Here is crystalline AcPrLuSc at its relaxed geometry from Alexandria. Energies are from PBE.

a = 5.7352 Å, b = 5.7352 Å, c = 5.7352 Å
α = 60.00°, β = 60.00°, γ = 60.00°
Closest atoms and distances in Å follow each position.
Atoms (fractional coordinates):
Pr1 0.7500 0.7500 0.7500  4 Sc 3.51, 4 Lu 3.51
Sc1 0.0000 0.0000 0.0000  4 Pr 3.51, 4 Ac 3.51
Ac1 0.2500 0.2500 0.2500  4 Lu 3.51, 4 Sc 3.51
Lu1 0.5000 0.5000 0.5000  4 Ac 3.51, 4 Pr 3.51

Values from the calculation:
DOS(E_F) = 1.5447 states/eV per atom
ΔE_f = 0.10 eV per atom
SG = F-43m
magnetic moment = 0.00 μB/cell

Record 2
Here is crystalline AcPuSi4 at its relaxed geometry from Alexandria. Energies are from PBE.

a = 4.2637 Å, b = 7.9268 Å, c = 15.3975 Å
α = 90.00°, β = 90.00°, γ = 90.00°
Closest atoms and distances in Å follow each position.
Atoms (fractional coordinates):
Ac1 0.0000 0.6199 0.3477  14 Si 3.35-3.66
Ac2 0.0000 0.3801 0.6523  14 Si 3.35-3.66
Ac3 0.0000 0.1199 0.1523  14 Si 3.35-3.66
Ac4 0.0000 0.8801 0.8477  14 Si 3.35-3.66
Pu1 0.0000 0.6260 0.0855  10 Si 2.95-2.98
Pu2 0.0000 0.3740 0.9145  10 Si 2.95-2.98
Pu3 0.0000 0.1260 0.4145  10 Si 2.95-2.98
Pu4 0.0000 0.8740 0.5855  10 Si 2.95-2.98
Si1 0.5000 0.7793 0.1918  3 Si 2.33-2.44
Si2 0.5000 0.2207 0.8082  3 Si 2.33-2.44
Si3 0.5000 0.2793 0.3082  3 Si 2.33-2.44
Si4 0.5000 0.7207 0.6918  3 Si 2.33-2.44
Si5 0.5000 0.8740 0.0412  3 Si 2.37-2.44
Si6 0.5000 0.1260 0.9588  3 Si 2.37-2.44
Si7 0.5000 0.3740 0.4588  3 Si 2.37-2.44
Si8 0.5000 0.6260 0.5412  3 Si 2.37-2.44
Si9 0.5000 0.8746 0.4518  3 Si 2.39-2.48
Si10 0.5000 0.1254 0.5482  3 Si 2.39-2.48
Si11 0.5000 0.3746 0.0482  3 Si 2.39-2.48
Si12 0.5000 0.6254 0.9518  3 Si 2.39-2.48
Si13 0.5000 0.9741 0.3050  3 Si 2.33-2.42
Si14 0.5000 0.0259 0.6950  3 Si 2.33-2.42
Si15 0.5000 0.4741 0.1950  3 Si 2.33-2.42
Si16 0.5000 0.5259 0.8050  3 Si 2.33-2.42

Values from the calculation:
DOS(E_F) = 1.3502 states/eV per atom
SG = Pbam
energy relative to the elements, uncorrected = -40.9 kJ/mol of atoms
magnetic moment = 22.02 μB/cell

Record 3
Here is crystalline K2AlOsO6 at its relaxed geometry from Alexandria. Energies are from PBE.

a = 5.4674 Å, b = 5.4674 Å, c = 5.4666 Å
α = 59.99°, β = 59.99°, γ = 90.00°
Closest atoms and distances in Å follow each position.
Atoms (fractional coordinates):
K1 0.7500 0.2500 0.5000  12 O 2.73
K2 0.2500 0.7500 0.5000  12 O 2.73
Al1 0.5000 0.5000 0.0000  6 O 1.95
Os1 0.0000 0.0000 0.0000  6 O 1.92
O1 0.2483 0.2483 0.5035  1 Os 1.92, 1 Al 1.95
O2 0.7519 0.7519 0.0000  1 Os 1.92, 1 Al 1.95
O3 0.2481 0.7519 0.0000  1 Os 1.92, 1 Al 1.95
O4 0.7519 0.2481 0.0000  1 Os 1.92, 1 Al 1.95
O5 0.2481 0.2481 0.0000  1 Os 1.92, 1 Al 1.95
O6 0.7517 0.7517 0.4965  1 Os 1.92, 1 Al 1.95

Values from the calculation:
DOS(E_F) = 0.3988 states/eV per atom
SG = Fm-3m
energy relative to the elements, uncorrected = -161.5 kJ/mol of atoms
magnetic moment = 0.00 μB/cell

Record 4
Here is crystalline Er4BiPSe2 at its relaxed geometry from Alexandria. Energies are from PBE.

a = 4.1143 Å, b = 7.0965 Å, c = 7.2612 Å
α = 70.57°, β = 90.00°, γ = 90.00°
Closest atoms and distances in Å follow each position.
Atoms (fractional coordinates):
Er1 0.0000 0.7527 0.7235  1 P 2.79, 3 Se 2.84-3.07, 2 Bi 3.01
Er2 0.0000 0.2473 0.2765  1 P 2.79, 3 Se 2.84-3.07, 2 Bi 3.01
Er3 0.5000 0.7387 0.2738  2 P 2.82, 3 Se 2.86-3.03, 1 Bi 3.01
Er4 0.5000 0.2613 0.7262  2 P 2.82, 3 Se 2.86-3.03, 1 Bi 3.01
Bi1 0.5000 0.5000 0.0000  6 Er 3.01
P1 0.0000 0.5000 0.5000  6 Er 2.79-2.82
Se1 0.0000 0.0000 0.0000  6 Er 3.03-3.07
Se2 0.5000 0.0000 0.5000  6 Er 2.84-2.86

Values from the calculation:
DOS(E_F) = 0.4157 states/eV per atom
SG = P2/m
energy relative to the elements, uncorrected = -139.9 kJ/mol of atoms
magnetic moment = 0.00 μB/cell

Record 5
Here is crystalline Pr4PPbSe2 at its relaxed geometry from Alexandria. Energies are from PBE.

a = 4.3413 Å, b = 7.5232 Å, c = 7.5635 Å
α = 70.58°, β = 90.00°, γ = 90.00°
Closest atoms and distances in Å follow each position.
Atoms (fractional coordinates):
Pr1 0.0000 0.7516 0.7365  1 P 3.01, 3 Se 3.03-3.15, 2 Pb 3.12
Pr2 0.0000 0.2484 0.2635  1 P 3.01, 3 Se 3.03-3.15, 2 Pb 3.12
Pr3 0.5000 0.7404 0.2653  2 P 3.00, 3 Se 3.04-3.15, 1 Pb 3.12
Pr4 0.5000 0.2596 0.7347  2 P 3.00, 3 Se 3.04-3.15, 1 Pb 3.12
P1 0.0000 0.5000 0.5000  6 Pr 3.00-3.01
Pb1 0.5000 0.5000 0.0000  6 Pr 3.12
Se1 0.0000 0.0000 0.0000  6 Pr 3.15
Se2 0.5000 0.0000 0.5000  6 Pr 3.03-3.04

Values from the calculation:
DOS(E_F) = 0.2676 states/eV per atom
SG = P2/m
energy relative to the elements, uncorrected = -139.4 kJ/mol of atoms
magnetic moment = 0.00 μB/cell

Record 6
Here is crystalline Hf6CoTc2 at its relaxed geometry from Alexandria. Energies are from PBE.

a = 5.5333 Å, b = 6.9518 Å, c = 9.1324 Å
α = 90.00°, β = 89.45°, γ = 90.00°
Closest atoms and distances in Å follow each position.
Atoms (fractional coordinates):
Hf1 0.8469 0.9477 0.2474  1 Co 2.49, 1 Tc 2.78
Hf2 0.8457 0.6543 0.5501  1 Co 2.59, 2 Tc 2.66-2.72, 1 Hf 2.89
Hf3 0.8601 0.7071 0.9404  1 Co 2.51, 2 Tc 2.67-2.71
Hf4 0.6399 0.2071 0.5596  1 Co 2.51, 2 Tc 2.67-2.71
Hf5 0.6544 0.1543 0.9499  1 Co 2.59, 2 Tc 2.66-2.72, 1 Hf 2.89
Hf6 0.6531 0.4477 0.2526  1 Co 2.49, 1 Tc 2.78
Hf7 0.1531 0.0523 0.7526  1 Co 2.49, 1 Tc 2.78
Hf8 0.1543 0.3457 0.4499  1 Co 2.59, 2 Tc 2.66-2.72, 1 Hf 2.89
Hf9 0.1399 0.2929 0.0596  1 Co 2.51, 2 Tc 2.67-2.71
Hf10 0.3601 0.7929 0.4404  1 Co 2.51, 2 Tc 2.67-2.71
Hf11 0.3456 0.8457 0.0501  1 Co 2.59, 2 Tc 2.66-2.72, 1 Hf 2.89
Hf12 0.3469 0.5523 0.7474  1 Co 2.49, 1 Tc 2.78
Co1 0.5000 0.5000 0.0000  6 Hf 2.49-2.59
Co2 0.0000 0.0000 0.5000  6 Hf 2.49-2.59
Tc1 0.8861 0.3950 0.7715  6 Hf 2.66-2.81
Tc2 0.6139 0.8950 0.7285  6 Hf 2.66-2.81
Tc3 0.3861 0.1050 0.2715  6 Hf 2.66-2.81
Tc4 0.1139 0.6050 0.2285  6 Hf 2.66-2.81

Values from the calculation:
DOS(E_F) = 0.9718 states/eV per atom
ΔE_f = -0.13 eV per atom
SG = P2_1/c
magnetic moment = 0.00 μB/cell

Record 7
Here is crystalline FeNiRu at its relaxed geometry from Alexandria. Energies are from PBE.

a = 4.0708 Å, b = 4.0708 Å, c = 2.5427 Å
α = 90.00°, β = 90.00°, γ = 120.00°
Closest atoms and distances in Å follow each position.
Atoms (fractional coordinates):
Fe1 0.0000 0.0000 0.1663  3 Ni 2.35, 2 Fe 2.54
Ni1 0.3333 0.6667 0.1669  3 Fe 2.35, 2 Ni 2.54
Ru1 0.6667 0.3333 0.6667  2 Ru 2.54, 6 Fe 2.67, 6 Ni 2.67

Values from the calculation:
DOS(E_F) = 1.4408 states/eV per atom
ΔE_f = 0.15 eV per atom
SG = P-6m2
magnetic moment = 1.78 μB/cell

Record 8
Here is crystalline KHo2B2S6 at its relaxed geometry from Alexandria. Energies are from PBE.

a = 6.9433 Å, b = 7.3661 Å, c = 7.3026 Å
α = 116.65°, β = 89.92°, γ = 61.95°
Closest atoms and distances in Å follow each position.
Atoms (fractional coordinates):
K1 0.5000 0.0000 0.5000  8 S 3.77-3.96, 2 B 3.95, 4 Ho 4.16
Ho1 0.8304 0.3391 0.8302  6 S 2.69-2.78
Ho2 0.1696 0.6609 0.1698  6 S 2.69-2.78
B1 0.1497 0.7022 0.7605  3 S 1.82-1.84
B2 0.8503 0.2978 0.2395  3 S 1.82-1.84
S1 0.4014 0.6452 0.8567  1 B 1.82
S2 0.0445 0.3563 0.1444  1 B 1.82
S3 0.0725 0.8576 0.6092  1 B 1.84
S4 0.9555 0.6437 0.8556  1 B 1.82
S5 0.9275 0.1424 0.3908  1 B 1.84
S6 0.5986 0.3548 0.1433  1 B 1.82

Values from the calculation:
DOS(E_F) = 0.2793 states/eV per atom
SG = P-1
energy relative to the elements, uncorrected = -102.6 kJ/mol of atoms
magnetic moment = 0.00 μB/cell

Record 9
Here is crystalline Tb3AgIr2 at its relaxed geometry from Alexandria. Energies are from PBE.

a = 3.5491 Å, b = 4.9649 Å, c = 7.7399 Å
α = 108.71°, β = 90.00°, γ = 90.00°
Closest atoms and distances in Å follow each position.
Atoms (fractional coordinates):
Tb1 0.5000 0.5000 0.0000  4 Ir 2.98, 4 Ag 3.05
Tb2 0.5000 0.8247 0.6494  6 Ir 2.96-3.06, 2 Ag 3.12
Tb3 0.5000 0.1753 0.3506  6 Ir 2.96-3.06, 2 Ag 3.12
Ag1 0.0000 0.0000 0.0000  8 Tb 3.05-3.12
Ir1 0.0000 0.3365 0.6730  8 Tb 2.96-3.06
Ir2 0.0000 0.6635 0.3270  8 Tb 2.96-3.06

Values from the calculation:
DOS(E_F) = 0.7233 states/eV per atom
ΔE_f = -0.65 eV per atom
SG = Cmmm
magnetic moment = 0.00 μB/cell

Record 10
Here is crystalline KSb2TeI at its relaxed geometry from Alexandria. Energies are from PBE.

a = 5.8193 Å, b = 5.8193 Å, c = 6.5910 Å
α = 90.00°, β = 90.00°, γ = 90.00°
Closest atoms and distances in Å follow each position.
Atoms (fractional coordinates):
I1 0.0000 0.0000 0.5000  2 Te 3.30
Sb1 0.0000 0.5000 0.0000  2 Te 2.91
Sb2 0.5000 0.0000 0.0000  2 Te 2.91
K1 0.5000 0.5000 0.5000  4 I 4.11, 8 Sb 4.40
Te1 0.0000 0.0000 0.0000  4 Sb 2.91

Values from the calculation:
DOS(E_F) = 0.9387 states/eV per atom
SG = P4/mmm
energy relative to the elements, uncorrected = 13.7 kJ/mol of atoms
magnetic moment = 0.98 μB/cell

Record 11
Here is crystalline SrIn2Au at its relaxed geometry from Alexandria. Energies are from PBE.

a = 3.6844 Å, b = 3.6886 Å, c = 7.7533 Å
α = 90.00°, β = 90.00°, γ = 90.00°
Closest atoms and distances in Å follow each position.
Atoms (fractional coordinates):
Au1 0.5000 0.5000 0.7500  8 In 3.02
In1 0.0000 0.0000 0.9472  4 Au 3.02, 1 In 3.06
In2 0.0000 0.0000 0.5528  4 Au 3.02, 1 In 3.06
Sr1 0.5000 0.5000 0.2500  8 In 3.51, 4 Sr 3.68-3.69, 2 Au 3.88

Values from the calculation:
DOS(E_F) = 0.5882 states/eV per atom
ΔE_f = -0.33 eV per atom
SG = P4/mmm
magnetic moment = 0.00 μB/cell

Record 12
Here is crystalline LaHPt3 at its relaxed geometry from Alexandria. Energies are from PBE.

a = 4.2846 Å, b = 4.2846 Å, c = 4.2846 Å
α = 90.00°, β = 90.00°, γ = 90.00°
Closest atoms and distances in Å follow each position.
Atoms (fractional coordinates):
H1 0.0000 0.0000 0.0000  6 Pt 2.14
Pt1 0.0000 0.5000 0.0000  2 H 2.14
Pt2 0.0000 0.0000 0.5000  2 H 2.14
Pt3 0.5000 0.0000 0.0000  2 H 2.14
La1 0.5000 0.5000 0.5000  12 Pt 3.03

Values from the calculation:
DOS(E_F) = 0.2964 states/eV per atom
E = -29.4 eV/f.u.
SG = Pm-3m
magnetic moment = 0.00 μB/cell